The following is a GGA-PBE calculation of crystalline Dy2CN at its relaxed geometry, from the Alexandria database.

Cell lengths 3.504, 3.504, 6.224 Å; angles 73.65, 73.65, 60.00 degrees
Fractional positions:
N 0.500 0.500 0.500
Dy 0.247 0.247 0.260
Dy 0.753 0.753 0.740
C 0.000 0.000 0.000

- SG: No. 166
- Total energy: -7.49 eV per atom
- Total magnetic moment: 0.00 μB/atom
- Energy relative to the elements, uncorrected: -0.798 eV/atom



The following is a GGA-PBE calculation of crystalline DyCN2 at its relaxed geometry, from the Alexandria database.

Cell lengths 3.589, 5.061, 11.666 Å; angles 90.00, 90.00, 90.00 degrees
Fractional positions:
C 0.250 0.617 0.867
C 0.250 0.883 0.367
C 0.750 0.383 0.133
C 0.750 0.117 0.633
N 0.250 0.795 0.945
N 0.750 0.873 0.661
N 0.750 0.205 0.055
N 0.750 0.627 0.161
N 0.750 0.295 0.555
N 0.250 0.127 0.339
N 0.250 0.705 0.445
N 0.250 0.373 0.839
Dy 0.750 0.065 0.861
Dy 0.250 0.565 0.639
Dy 0.750 0.435 0.361
Dy 0.250 0.935 0.139

- SG: No. 62
- Total energy: -8.29 eV per atom
- Total magnetic moment: 0.00 μB/atom
- Energy relative to the elements, uncorrected: -0.673 eV/atom



The following is a GGA-PBE calculation of crystalline NaDyCN2 at its relaxed geometry, from the Alexandria database.

Cell lengths 5.268, 6.324, 7.158 Å; angles 116.41, 90.00, 90.00 degrees
Fractional positions:
Na 0.210 0.500 0.750
Na 0.790 0.500 0.250
C 0.000 0.000 0.500
C 0.000 0.000 0.000
N 0.776 0.950 0.442
N 0.224 0.950 0.942
N 0.776 0.050 0.058
N 0.224 0.050 0.558
Dy 0.551 0.000 0.750
Dy 0.449 0.000 0.250

- SG: No. 13
- Total energy: -6.74 eV per atom
- Total magnetic moment: 0.00 μB/atom
- Energy relative to the elements, uncorrected: -0.382 eV/atom



The following is a GGA-PBE calculation of crystalline Dy4CNO2 at its relaxed geometry, from the Alexandria database.

Cell lengths 4.923, 4.923, 6.001 Å; angles 114.22, 114.22, 90.00 degrees
Fractional positions:
Dy 0.188 0.188 0.503
Dy 0.686 0.686 0.497
Dy 0.437 0.937 0.000
Dy 0.937 0.437 0.000
N 0.437 0.437 0.000
O 0.687 0.187 0.500
O 0.187 0.687 0.500
C 0.937 0.937 0.000

- SG: No. 139
- Total energy: -7.78 eV per atom
- Total magnetic moment: 0.00 μB/atom
- Energy relative to the elements, uncorrected: -2.044 eV/atom



The following is a GGA-PBE calculation of crystalline Dy8C3N3O at its relaxed geometry, from the Alexandria database.

Cell lengths 7.046, 7.047, 7.054 Å; angles 119.96, 90.00, 120.00 degrees
Fractional positions:
Dy 0.755 0.001 0.748
Dy 0.754 0.999 0.252
Dy 0.246 0.001 0.748
Dy 0.752 0.504 0.756
Dy 0.245 0.999 0.252
Dy 0.754 0.507 0.252
Dy 0.248 0.496 0.244
Dy 0.246 0.493 0.748
O 0.000 0.000 0.500
N 0.000 0.500 0.000
N 0.500 0.500 0.000
N 0.000 0.000 0.000
C 0.500 0.500 0.500
C 0.000 0.500 0.500
C 0.500 0.000 0.500

- SG: No. 166
- Total energy: -7.43 eV per atom
- Total magnetic moment: 0.02 μB/atom
- Energy relative to the elements, uncorrected: -1.139 eV/atom



The following is a GGA-PBE calculation of crystalline Dy4CN2O at its relaxed geometry, from the Alexandria database.

Cell lengths 4.925, 4.925, 6.060 Å; angles 113.98, 113.98, 90.00 degrees
Fractional positions:
Dy 0.690 0.690 0.505
Dy 0.437 0.937 0.000
Dy 0.185 0.185 0.495
Dy 0.937 0.437 0.000
N 0.187 0.687 0.500
N 0.687 0.187 0.500
C 0.937 0.937 0.000
O 0.437 0.437 0.000

- SG: No. 139
- Total energy: -7.88 eV per atom
- Total magnetic moment: 0.00 μB/atom
- Energy relative to the elements, uncorrected: -1.723 eV/atom



The following is a GGA-PBE calculation of crystalline Dy6C2NO3 at its relaxed geometry, from the Alexandria database.

Cell lengths 3.500, 6.972, 7.799 Å; angles 102.68, 102.97, 90.00 degrees
Fractional positions:
Dy 0.668 0.579 0.336
Dy 0.003 0.245 0.005
Dy 0.335 0.912 0.670
Dy 0.997 0.755 0.995
Dy 0.665 0.088 0.330
Dy 0.332 0.421 0.664
N 0.500 0.000 0.000
O 0.166 0.835 0.332
O 0.834 0.165 0.668
O 0.500 0.500 0.000
C 0.165 0.330 0.329
C 0.835 0.670 0.671

- SG: No. 12
- Total energy: -7.74 eV per atom
- Total magnetic moment: 0.00 μB/atom
- Energy relative to the elements, uncorrected: -1.967 eV/atom



The following is a GGA-PBE calculation of crystalline Dy4C2NO at its relaxed geometry, from the Alexandria database.

Cell lengths 4.964, 4.964, 6.112 Å; angles 113.96, 113.96, 90.00 degrees
Fractional positions:
O 0.500 0.500 0.000
Dy 0.995 0.495 0.990
Dy 0.749 0.749 0.498
Dy 0.251 0.251 0.502
Dy 0.505 0.005 0.010
N 0.750 0.250 0.500
C 0.000 0.000 0.000
C 0.250 0.750 0.500

- SG: No. 119
- Total energy: -7.56 eV per atom
- Total magnetic moment: 0.00 μB/atom
- Energy relative to the elements, uncorrected: -1.292 eV/atom



The following is a GGA-PBE calculation of crystalline Dy6CN3O2 at its relaxed geometry, from the Alexandria database.

Cell lengths 6.014, 6.014, 6.024 Å; angles 99.60, 99.60, 119.97 degrees
Fractional positions:
Dy 0.586 0.915 0.744
Dy 0.245 0.245 0.746
Dy 0.085 0.414 0.256
Dy 0.414 0.085 0.256
Dy 0.915 0.586 0.744
Dy 0.755 0.755 0.254
N 0.834 0.166 0.500
N 0.500 0.500 0.500
N 0.166 0.834 0.500
O 0.666 0.334 0.000
O 0.334 0.666 0.000
C 0.000 0.000 0.000

- SG: No. 12
- Total energy: -7.95 eV per atom
- Total magnetic moment: 0.00 μB/atom
- Energy relative to the elements, uncorrected: -1.971 eV/atom



The following is a GGA-PBE calculation of crystalline Dy6C2NO2 at its relaxed geometry, from the Alexandria database.

Cell lengths 6.105, 6.105, 6.082 Å; angles 99.78, 99.78, 119.81 degrees
Fractional positions:
Dy 0.586 0.929 0.258
Dy 0.414 0.071 0.742
Dy 0.071 0.414 0.742
Dy 0.759 0.759 0.732
Dy 0.929 0.586 0.258
Dy 0.241 0.241 0.268
C 0.332 0.668 0.500
C 0.668 0.332 0.500
N 0.000 0.000 0.500
O 0.832 0.168 0.000
O 0.168 0.832 0.000

- SG: No. 12
- Total energy: -7.43 eV per atom
- Total magnetic moment: 0.00 μB/atom
- Energy relative to the elements, uncorrected: -1.582 eV/atom



The following is a GGA-PBE calculation of crystalline DyPaCN at its relaxed geometry, from the Alexandria database.

Cell lengths 3.578, 3.578, 6.088 Å; angles 72.91, 72.91, 60.00 degrees
Fractional positions:
N 0.937 0.937 0.188
Pa 0.194 0.194 0.417
Dy 0.694 0.694 0.919
C 0.451 0.451 0.648

- SG: No. 160
- Total energy: -8.98 eV per atom
- Total magnetic moment: 0.00 μB/atom
- Energy relative to the elements, uncorrected: -1.064 eV/atom



The following is a GGA-PBE calculation of crystalline Dy6CS3N2 at its relaxed geometry, from the Alexandria database.

Cell lengths 6.330, 6.330, 6.621 Å; angles 99.14, 99.14, 120.01 degrees
Fractional positions:
S 0.834 0.166 0.500
S 0.500 0.500 0.500
S 0.166 0.834 0.500
N 0.333 0.667 0.000
N 0.667 0.333 0.000
Dy 0.404 0.070 0.212
Dy 0.930 0.596 0.788
Dy 0.736 0.736 0.211
Dy 0.070 0.404 0.212
Dy 0.596 0.930 0.788
Dy 0.264 0.264 0.789
C 0.000 0.000 0.000

- SG: No. 12
- Total energy: -7.18 eV per atom
- Total magnetic moment: 0.00 μB/atom
- Energy relative to the elements, uncorrected: -1.694 eV/atom



The following is a GGA-PBE calculation of crystalline Dy2CS2N2 at its relaxed geometry, from the Alexandria database.

Cell lengths 3.986, 4.957, 6.846 Å; angles 97.90, 90.00, 113.71 degrees
Fractional positions:
Dy 0.684 0.368 0.246
Dy 0.316 0.632 0.754
S 0.374 0.749 0.157
S 0.626 0.251 0.843
N 0.123 0.246 0.444
N 0.877 0.754 0.556
C 0.000 0.000 0.500

- SG: No. 12
- Total energy: -7.60 eV per atom
- Total magnetic moment: 0.00 μB/atom
- Energy relative to the elements, uncorrected: -1.410 eV/atom



The following is a GGA-PBE calculation of crystalline Dy8C3S4N at its relaxed geometry, from the Alexandria database.

Cell lengths 7.388, 7.628, 7.388 Å; angles 118.96, 120.00, 90.00 degrees
Fractional positions:
N 0.000 0.500 0.000
Dy 0.264 0.289 0.026
Dy 0.238 0.711 0.475
Dy 0.762 0.289 0.026
Dy 0.762 0.289 0.525
Dy 0.738 0.715 0.476
Dy 0.736 0.711 0.974
Dy 0.238 0.711 0.974
Dy 0.262 0.285 0.524
C 0.000 0.500 0.500
C 0.500 0.500 0.500
C 0.500 0.500 0.000
S 0.000 0.000 0.000
S 0.000 0.000 0.500
S 0.500 0.000 0.000
S 0.500 0.000 0.500

- SG: No. 166
- Total energy: -7.04 eV per atom
- Total magnetic moment: 0.00 μB/atom
- Energy relative to the elements, uncorrected: -1.453 eV/atom



The following is a GGA-PBE calculation of crystalline Dy8CS4N3 at its relaxed geometry, from the Alexandria database.

Cell lengths 7.296, 7.550, 7.297 Å; angles 118.90, 120.00, 90.00 degrees
Fractional positions:
S 0.500 0.000 0.500
S 0.000 0.000 0.500
S 0.000 0.000 0.000
S 0.500 0.000 0.000
Dy 0.263 0.290 0.527
Dy 0.763 0.288 0.526
Dy 0.738 0.712 0.975
Dy 0.237 0.712 0.975
Dy 0.763 0.288 0.025
Dy 0.237 0.712 0.474
Dy 0.262 0.288 0.025
Dy 0.737 0.710 0.473
C 0.000 0.500 0.000
N 0.500 0.500 0.000
N 0.000 0.500 0.500
N 0.500 0.500 0.500

- SG: No. 166
- Total energy: -7.21 eV per atom
- Total magnetic moment: 0.00 μB/atom
- Energy relative to the elements, uncorrected: -1.737 eV/atom



The following is a GGA-PBE calculation of crystalline Dy2Sc2C2N at its relaxed geometry, from the Alexandria database.

Cell lengths 3.540, 6.802, 6.866 Å; angles 55.08, 75.07, 58.67 degrees
Each line ends with the local moment (μB).
Fractional positions:
Sc 0.297 0.561 0.284  0.11
Sc 0.703 0.439 0.716  0.11
N 0.000 0.000 0.000  -0.01
C 0.980 0.293 0.454  0.00
C 0.020 0.707 0.546  0.00
Dy 0.330 0.045 0.250  0.14
Dy 0.670 0.955 0.750  0.14

- SG: No. 12
- Total energy: -7.67 eV per atom
- Total magnetic moment: 0.13 μB/atom
- Energy relative to the elements, uncorrected: -0.717 eV/atom



The following is a GGA-PBE calculation of crystalline Dy8C3Se4N at its relaxed geometry, from the Alexandria database.

Cell lengths 7.485, 7.853, 7.485 Å; angles 118.46, 120.00, 90.00 degrees
Fractional positions:
C 0.500 0.500 0.500
C 0.500 0.500 0.000
C 0.000 0.500 0.500
Dy 0.265 0.295 0.530
Dy 0.267 0.298 0.033
Dy 0.735 0.705 0.470
Dy 0.765 0.298 0.033
Dy 0.733 0.702 0.967
Dy 0.765 0.298 0.531
Dy 0.235 0.702 0.469
Dy 0.235 0.702 0.967
Se 0.500 0.000 0.000
Se 0.000 0.000 0.000
Se 0.500 0.000 0.500
Se 0.000 0.000 0.500
N 0.000 0.500 0.000

- SG: No. 166
- Total energy: -6.74 eV per atom
- Total magnetic moment: 0.00 μB/atom
- Energy relative to the elements, uncorrected: -1.320 eV/atom



The following is a GGA-PBE calculation of crystalline Dy8C3Se3N at its relaxed geometry, from the Alexandria database.

Cell lengths 7.414, 7.418, 7.822 Å; angles 118.33, 90.00, 119.99 degrees
Fractional positions:
Se 0.000 0.000 0.000
Se 0.000 0.500 0.000
Se 0.500 0.500 0.000
C 0.000 0.500 0.500
C 0.500 0.500 0.500
C 0.500 0.000 0.500
Dy 0.765 0.530 0.298
Dy 0.765 0.033 0.298
Dy 0.235 0.967 0.702
Dy 0.735 0.469 0.704
Dy 0.732 0.967 0.702
Dy 0.268 0.033 0.298
Dy 0.235 0.470 0.702
Dy 0.265 0.531 0.296
N 0.000 0.000 0.500

- SG: No. 166
- Total energy: -6.68 eV per atom
- Total magnetic moment: 0.03 μB/atom
- Energy relative to the elements, uncorrected: -1.133 eV/atom



The following is a GGA-PBE calculation of crystalline Dy6CSe3N2 at its relaxed geometry, from the Alexandria database.

Cell lengths 6.411, 6.411, 6.865 Å; angles 98.93, 98.93, 120.01 degrees
Fractional positions:
N 0.667 0.333 0.000
N 0.333 0.667 0.000
Dy 0.401 0.067 0.201
Dy 0.267 0.267 0.799
Dy 0.067 0.401 0.201
Dy 0.733 0.733 0.201
Dy 0.599 0.933 0.799
Dy 0.933 0.599 0.799
C 0.000 0.000 0.000
Se 0.166 0.834 0.500
Se 0.500 0.500 0.500
Se 0.834 0.166 0.500

- SG: No. 12
- Total energy: -6.88 eV per atom
- Total magnetic moment: 0.00 μB/atom
- Energy relative to the elements, uncorrected: -1.548 eV/atom



The following is a GGA-PBE calculation of crystalline Dy4CSe2N at its relaxed geometry, from the Alexandria database.

Cell lengths 3.723, 6.437, 6.874 Å; angles 108.22, 90.00, 90.00 degrees
Fractional positions:
Dy 0.500 0.766 0.799
Dy 0.000 0.734 0.204
Dy 0.500 0.234 0.201
Dy 0.000 0.266 0.796
Se 0.000 0.500 0.500
Se 0.500 0.000 0.500
N 0.000 0.000 0.000
C 0.500 0.500 0.000

- SG: No. 10
- Total energy: -6.82 eV per atom
- Total magnetic moment: 0.00 μB/atom
- Energy relative to the elements, uncorrected: -1.458 eV/atom



The following is a GGA-PBE calculation of crystalline Sm2Dy2CN2 at its relaxed geometry, from the Alexandria database.

Cell lengths 3.544, 7.071, 7.072 Å; angles 58.57, 75.54, 59.90 degrees
Fractional positions:
N 0.980 0.283 0.474
N 0.020 0.717 0.526
Dy 0.319 0.543 0.276
Dy 0.681 0.457 0.724
Sm 0.662 0.965 0.748
Sm 0.338 0.035 0.252
C 0.000 0.000 0.000

- SG: No. 2
- Total energy: -7.26 eV per atom
- Total magnetic moment: 0.00 μB/atom
- Energy relative to the elements, uncorrected: -0.898 eV/atom



The following is a GGA-PBE calculation of crystalline Dy6Te3CN2 at its relaxed geometry, from the Alexandria database.

Cell lengths 6.547, 6.547, 7.276 Å; angles 98.62, 98.62, 120.00 degrees
Fractional positions:
Dy 0.062 0.396 0.186
Dy 0.938 0.604 0.814
Dy 0.396 0.062 0.186
Dy 0.604 0.938 0.814
Dy 0.728 0.728 0.186
Dy 0.272 0.272 0.814
Te 0.834 0.166 0.500
Te 0.500 0.500 0.500
Te 0.166 0.834 0.500
N 0.666 0.334 0.000
N 0.334 0.666 0.000
C 0.000 0.000 0.000

- SG: No. 12
- Total energy: -6.47 eV per atom
- Total magnetic moment: 0.00 μB/atom
- Energy relative to the elements, uncorrected: -1.223 eV/atom